First-principles (PBE) data for a relaxed structure of KTlICl, as listed in the Alexandria database.

Structure (POSCAR):
```
KTlICl
1.0
0.0000 4.1079 4.1079
4.1079 0.0000 4.1079
4.1079 4.1079 0.0000
K Tl I Cl
1 1 1 1
direct
0.0000 0.0000 0.0000
0.5000 0.5000 0.5000
0.2500 0.2500 0.2500
0.7500 0.7500 0.7500
```

Values from the calculation:
For the excess energy over the best structure of this formula in the dataset, the calculation gives 0.0674 eV per atom. As for the space group: F-43m. The raw formation energy is -1.19 eV/atom. The total energy comes out at -11.6 eV/cell. Its density of states at the Fermi level is 0.0000 states/eV per atom.